1.
## CrTcRu (PBE)

Data for a relaxed structure of CrTcRu.

abc: 4.703 2.708 12.833
angles: 90.00 97.20 90.00
Sites, in units of the cell vectors:
Ru1 0.888 0.000 0.663
Ru2 0.112 0.000 0.337
Ru3 0.888 0.500 0.163
Ru4 0.112 0.500 0.837
Tc1 0.616 0.000 0.838
Tc2 0.384 0.000 0.162
Tc3 0.616 0.500 0.338
Tc4 0.384 0.500 0.662
Cr1 0.000 0.000 0.000
Cr2 0.000 0.500 0.500
Cr3 0.500 0.000 0.500
Cr4 0.500 0.500 0.000

- DOS(E_F): 1.1732 states/eV per atom
- ΔH_f (0 K): 0.266 eV per formula unit
- Polymorph energy (0 for the lowest one): 26.7 meV/atom

***

2.
## CrTcRu2 (PBE)

Data for a relaxed structure of CrTcRu2.

abc: 4.638 4.638 2.688
angles: 90.00 90.00 109.02
Sites, in units of the cell vectors:
Cr1 0.000 0.500 0.500
Ru1 0.000 0.000 0.000
Ru2 0.500 0.500 0.000
Tc1 0.500 0.000 0.500

- DOS(E_F): 1.5052 states/eV per atom
- ΔH_f (0 K): 0.400 eV per formula unit
- Polymorph energy (0 for the lowest one): 34.5 meV/atom

***

3.
## CrTcRu (PBE)

Data for a relaxed structure of CrTcRu.

abc: 4.646 4.646 4.646
angles: 146.46 132.33 59.55
Sites, in units of the cell vectors:
Cr1 0.002 0.002 0.000
Ru1 0.663 0.663 0.000
Tc1 0.335 0.335 0.000

- DOS(E_F): 1.2744 states/eV per atom
- ΔH_f (0 K): 0.397 eV per formula unit
- Polymorph energy (0 for the lowest one): 70.4 meV/atom

***

4.
## CrTcRu (PBE)

Data for a relaxed structure of CrTcRu.

abc: 4.196 4.196 2.666
angles: 90.00 90.00 120.00
Sites, in units of the cell vectors:
Cr1 0.000 0.000 0.833
Ru1 0.667 0.333 0.333
Tc1 0.333 0.667 0.833

- DOS(E_F): 1.1091 states/eV per atom
- ΔH_f (0 K): 0.320 eV per formula unit
- Polymorph energy (0 for the lowest one): 45.0 meV/atom

***

5.
## Cr2TcRu2 (PBE)

Data for a relaxed structure of Cr2TcRu2.

abc: 7.112 7.112 2.698
angles: 90.00 90.00 90.00
Sites, in units of the cell vectors:
Ru1 0.368 0.868 0.000
Ru2 0.868 0.632 0.000
Ru3 0.632 0.132 0.000
Ru4 0.132 0.368 0.000
Tc1 0.000 0.000 0.000
Tc2 0.500 0.500 0.000
Cr1 0.166 0.666 0.500
Cr2 0.666 0.834 0.500
Cr3 0.834 0.334 0.500
Cr4 0.334 0.166 0.500

- DOS(E_F): 1.1187 states/eV per atom
- ΔH_f (0 K): 1.227 eV per formula unit
- Polymorph energy (0 for the lowest one): 50.0 meV/atom

***

6.
## CrTcRu (PBE)

Data for a relaxed structure of CrTcRu.

abc: 2.689 2.689 6.507
angles: 90.00 90.00 120.00
Sites, in units of the cell vectors:
Cr1 0.000 0.000 0.006
Ru1 0.667 0.333 0.319
Tc1 0.333 0.667 0.675

- DOS(E_F): 1.2346 states/eV per atom
- ΔH_f (0 K): 0.463 eV per formula unit
- Polymorph energy (0 for the lowest one): 92.4 meV/atom